Entry 1:
VASP calculation (PBE) on crystalline SrLaNi2 at its relaxed geometry.

Calculated values
The magnetization comes out at 0.0 μB per cell. The formation energy is 281 meV per atom. The energy above the most stable polymorph in this dataset comes out at 450 meV/atom. The electronic total energy comes out at -0.3132 Ry/atom.

Geometry as CIF:
```
data_SrLaNi2
_chemical_formula_sum 'Sr4 La4 Ni8'
_symmetry_space_group_name_H-M 'F -4 3 m'
_symmetry_Int_Tables_number 216
_symmetry_space_group_name_Hall 'F -4 2 3'
_cell_length_a 6.893
_cell_length_b 6.893
_cell_length_c 6.893
_cell_angle_alpha 90.00
_cell_angle_beta 90.00
_cell_angle_gamma 90.00
loop_
_atom_site_label
_atom_site_fract_x
_atom_site_fract_y
_atom_site_fract_z
Sr1 0.000 0.000 0.000
La1 0.250 0.250 0.750
Ni1 0.000 0.000 0.500
Ni2 0.250 0.250 0.250
```



Entry 2:
VASP calculation (PBE) on crystalline Ce3BS6 at its relaxed geometry.

Calculated values
As for the energy relative to the elements, uncorrected: -1.5548 eV per atom. The magnetization comes out at 12.1 μB per cell. The electronic total energy comes out at -0.4762 Ry/atom.

Geometry as CIF:
```
data_Ce3BS6
_chemical_formula_sum 'Ce12 B4 S24'
_symmetry_space_group_name_H-M 'C m c 21'
_symmetry_Int_Tables_number 36
_cell_length_a 10.816
_cell_length_b 13.413
_cell_length_c 6.445
_cell_angle_alpha 90.00
_cell_angle_beta 90.00
_cell_angle_gamma 90.00
loop_
_symmetry_equiv_pos_as_xyz
'x,y,z'
'-x,-y,z+1/2'
'-x,y,z'
'x,-y,z+1/2'
'x+1/2,y+1/2,z'
'-x+1/2,-y+1/2,z+1/2'
'-x+1/2,y+1/2,z'
'x+1/2,-y+1/2,z+1/2'
loop_
_atom_site_label
_atom_site_fract_x
_atom_site_fract_y
_atom_site_fract_z
Ce1 0.000 0.109 0.000
Ce2 0.180 0.397 0.936
B1 0.000 0.306 0.381
S1 0.000 0.292 0.685
S2 0.000 0.445 0.278
S3 0.146 0.246 0.255
S4 0.160 0.019 0.715
```



Entry 3:
VASP calculation (PBE) on crystalline Ac3NpN4 at its relaxed geometry.

Calculated values
As for the energy relative to the elements, uncorrected: -1.0497 eV per atom. The magnetization comes out at 7.6 μB per cell. The electronic total energy comes out at -0.6152 Ry/atom.

Geometry as CIF:
```
data_Ac3NpN4
_chemical_formula_sum 'Ac6 Np2 N8'
_symmetry_space_group_name_H-M 'P m n 21'
_symmetry_Int_Tables_number 31
_cell_length_a 8.266
_cell_length_b 7.101
_cell_length_c 6.292
_cell_angle_alpha 90.00
_cell_angle_beta 90.00
_cell_angle_gamma 90.00
loop_
_symmetry_equiv_pos_as_xyz
'x,y,z'
'-x+1/2,-y,z+1/2'
'-x,y,z'
'x+1/2,-y,z+1/2'
loop_
_atom_site_label
_atom_site_fract_x
_atom_site_fract_y
_atom_site_fract_z
Ac1 0.000 0.149 0.000
Ac2 0.250 0.327 0.500
Np1 0.000 0.822 0.504
N1 0.000 0.132 0.585
N2 0.000 0.824 0.161
N3 0.236 0.678 0.584
```



Entry 4:
VASP calculation (PBE) on crystalline Ta3Nb2C4 at its relaxed geometry.

Calculated values
The magnetization comes out at 0.0 μB per cell. The formation energy is -595 meV per atom. The electronic total energy comes out at -0.7999 Ry/atom.

Geometry as CIF:
```
data_Ta3Nb2C4
_chemical_formula_sum 'Ta6 Nb4 C8'
_symmetry_space_group_name_H-M 'C 1 2/m 1'
_symmetry_Int_Tables_number 12
_cell_length_a 10.462
_cell_length_b 3.162
_cell_length_c 7.767
_cell_angle_alpha 90.00
_cell_angle_beta 119.80
_cell_angle_gamma 90.00
loop_
_symmetry_equiv_pos_as_xyz
'x,y,z'
'-x,-y,-z'
'-x,y,-z'
'x,-y,z'
'x+1/2,y+1/2,z'
'-x+1/2,-y+1/2,-z'
'-x+1/2,y+1/2,-z'
'x+1/2,-y+1/2,z'
loop_
_atom_site_label
_atom_site_fract_x
_atom_site_fract_y
_atom_site_fract_z
Ta1 0.000 0.000 0.000
Ta2 0.205 0.000 0.805
Nb1 0.106 0.500 0.392
C1 0.103 0.500 0.903
C2 0.201 0.000 0.300
```



Entry 5:
VASP calculation (PBE) on crystalline Cs2InMoI6 at its relaxed geometry.

Calculated values
As for the energy relative to the elements, uncorrected: -0.7761 eV per atom. The magnetization comes out at 12.0 μB per cell. The electronic total energy comes out at -0.2377 Ry/atom.

Geometry as CIF:
```
data_Cs2InMoI6
_chemical_formula_sum 'Cs8 In4 Mo4 I24'
_symmetry_space_group_name_H-M 'F m -3 m'
_symmetry_Int_Tables_number 225
_symmetry_space_group_name_Hall '-F 4 2 3'
_cell_length_a 12.261
_cell_length_b 12.261
_cell_length_c 12.261
_cell_angle_alpha 90.00
_cell_angle_beta 90.00
_cell_angle_gamma 90.00
loop_
_atom_site_label
_atom_site_fract_x
_atom_site_fract_y
_atom_site_fract_z
Cs1 0.250 0.250 0.250
In1 0.000 0.000 0.000
Mo1 0.000 0.000 0.500
I1 0.000 0.000 0.269
```



Entry 6:
VASP calculation (PBE) on crystalline Co2BrCl at its relaxed geometry.

Calculated values
As for the energy relative to the elements, uncorrected: -0.0141 eV per atom. The magnetization comes out at 4.0 μB per cell. The electronic total energy comes out at -0.3268 Ry/atom.

Geometry as CIF:
```
data_Co2BrCl
_chemical_formula_sum 'Co2 Br1 Cl1'
_symmetry_space_group_name_H-M 'P 1'
_symmetry_Int_Tables_number 1
_cell_length_a 3.595
_cell_length_b 3.595
_cell_length_c 7.515
_cell_angle_alpha 85.41
_cell_angle_beta 84.96
_cell_angle_gamma 60.06
loop_
_symmetry_equiv_pos_as_xyz
'x,y,z'
loop_
_atom_site_label
_atom_site_fract_x
_atom_site_fract_y
_atom_site_fract_z
Co1 0.000 0.000 0.000
Co2 0.353 0.349 0.853
Br1 0.307 0.315 0.191
Cl1 0.710 0.700 0.679
```



Entry 7:
VASP calculation (PBE) on crystalline HoTh4Sc5 at its relaxed geometry.

Calculated values
The magnetization comes out at 0.0 μB per cell. The formation energy is 30 meV per atom. The electronic total energy comes out at -0.4822 Ry/atom.

Geometry as CIF:
```
data_HoTh4Sc5
_chemical_formula_sum 'Ho1 Th4 Sc5'
_symmetry_space_group_name_H-M 'P 4/m m m'
_symmetry_Int_Tables_number 123
_symmetry_space_group_name_Hall '-P 4 2'
_cell_length_a 3.460
_cell_length_b 3.460
_cell_length_c 23.657
_cell_angle_alpha 90.00
_cell_angle_beta 90.00
_cell_angle_gamma 90.00
loop_
_atom_site_label
_atom_site_fract_x
_atom_site_fract_y
_atom_site_fract_z
Ho1 0.000 0.000 0.000
Th1 0.000 0.000 0.199
Th2 0.000 0.000 0.400
Sc1 0.500 0.500 0.101
Sc2 0.500 0.500 0.299
Sc3 0.500 0.500 0.500
```



Entry 8:
VASP calculation (PBE) on crystalline Li3LaCd9 at its relaxed geometry.

Calculated values
The magnetization comes out at 0.0 μB per cell. The formation energy is -248 meV per atom. The electronic total energy comes out at -0.1251 Ry/atom.

Geometry as CIF:
```
data_Li3LaCd9
_chemical_formula_sum 'Li6 La2 Cd18'
_symmetry_space_group_name_H-M 'C 1 2/m 1'
_symmetry_Int_Tables_number 12
_cell_length_a 5.433
_cell_length_b 14.319
_cell_length_c 7.628
_cell_angle_alpha 90.00
_cell_angle_beta 110.75
_cell_angle_gamma 90.00
loop_
_symmetry_equiv_pos_as_xyz
'x,y,z'
'-x,-y,-z'
'-x,y,-z'
'x,-y,z'
'x+1/2,y+1/2,z'
'-x+1/2,-y+1/2,-z'
'-x+1/2,y+1/2,-z'
'x+1/2,-y+1/2,z'
loop_
_atom_site_label
_atom_site_fract_x
_atom_site_fract_y
_atom_site_fract_z
Li1 0.000 0.000 0.000
Li2 0.250 0.250 0.500
La1 0.000 0.000 0.500
Cd1 0.000 0.500 0.000
Cd2 0.110 0.389 0.711
Cd3 0.164 0.177 0.843
```



Entry 9:
VASP calculation (PBE) on crystalline Be2Hg at its relaxed geometry.

Calculated values
The magnetization comes out at 0.0 μB per cell. The formation energy is 904 meV per atom. The energy above the most stable polymorph in this dataset comes out at 641 meV/atom. The electronic total energy comes out at -0.1235 Ry/atom.

Geometry as CIF:
```
data_Be2Hg
_chemical_formula_sum 'Be8 Hg4'
_symmetry_space_group_name_H-M 'P a -3'
_symmetry_Int_Tables_number 205
_symmetry_space_group_name_Hall '-P 2ac 2ab 3'
_cell_length_a 5.815
_cell_length_b 5.815
_cell_length_c 5.815
_cell_angle_alpha 90.00
_cell_angle_beta 90.00
_cell_angle_gamma 90.00
loop_
_atom_site_label
_atom_site_fract_x
_atom_site_fract_y
_atom_site_fract_z
Be1 0.111 0.111 0.111
Hg1 0.000 0.000 0.500
```